[1]
Computed, not measured: a geometry-optimized Nd2ErPa2Rh5 structure at the PBE-GGA level of DFT.

It has space group P4/mbm (No. 127), with a = 10.975 Å, b = 10.975 Å, c = 3.598 Å, α = 90.00°, β = 90.00° and γ = 90.00°. Symmetry generates all atoms from Nd at (0.171, 0.329, 0.000), Er at (0.000, 0.000, 0.000), Pa at (0.137, 0.637, 0.000), Rh at (0.000, 0.500, 0.500) and Rh at (0.055, 0.800, 0.500).

Its electronic total energy is -152.85 eV per cell. As for the theoretical density: 11.0 Mg/m³. The volume is 433.3 Å³/cell. The spin magnetization is 0.00 μB/cell. The density of states at the Fermi level comes out at 10.1 states/eV/f.u. Its energy of formation from the pure elements is -0.66 eV per atom.

***

[2]
Computed, not measured: a geometry-optimized Ba3LiPt2 structure at the PBE-GGA level of DFT.

It has space group P2_1/c (No. 14), with a = 7.728 Å, b = 11.524 Å, c = 10.047 Å, α = 90.00°, β = 109.56° and γ = 90.00°. Symmetry generates all atoms from Ba at (0.208, 0.231, 0.307), Ba at (0.256, 0.556, 0.524), Ba at (0.278, 0.538, 0.112), Li at (0.278, 0.686, 0.824), Pt at (0.041, 0.529, 0.770) and Pt at (0.462, 0.182, 0.115).

Its electronic total energy is -92.19 eV per cell. As for the theoretical density: 6.4 Mg/m³. The volume is 843.1 Å³/cell. The spin magnetization is 0.00 μB/cell. The density of states at the Fermi level comes out at 3.5 states/eV/f.u. Its energy of formation from the pure elements is -0.55 eV per atom.